! LiMnPt2 GGA-PBEsol relaxed; values from VASP
! Energy above the lowest structure with this stoichiometry   0 meV per atom
! ΔE_f   -0.39 eV/atom
! D(E_F)   2.42 states/eV per cell
&SYSTEM
  ibrav = 0, nat = 4, ntyp = 3
/
ATOMIC_SPECIES
Li 6.94 Li.upf
Pt 195.08 Pt.upf
Mn 54.94 Mn.upf
CELL_PARAMETERS angstrom
3.4430 0.0000 0.0000
0.0000 3.9585 0.0000
0.0000 0.0000 3.9585
ATOMIC_POSITIONS angstrom
Li 1.7215 1.9793 1.9793
Pt 0.0000 1.9793 0.0000
Mn 1.7215 0.0000 0.0000
Pt 0.0000 0.0000 1.9793

! Li2TeBrO GGA-PBEsol relaxed; values from VASP
! D(E_F)   2.55 states/eV per cell
! Energy   -0.1344 Ha/atom
&SYSTEM
  ibrav = 0, nat = 5, ntyp = 4
/
ATOMIC_SPECIES
Te 127.60 Te.upf
O 16.00 O.upf
Br 79.90 Br.upf
Li 6.94 Li.upf
CELL_PARAMETERS angstrom
-2.2363 -3.3535 0.4981
4.3162 -2.6231 1.7175
-1.0964 1.4751 5.0082
ATOMIC_POSITIONS angstrom
Te 0.0000 0.0000 0.0000
O -1.1181 -1.6767 0.2491
Br 0.4918 -2.2508 3.6119
Li -0.5482 0.7375 2.5041
Li 2.1581 -1.3116 0.8588